LiReAs2 | SCAN | single point on PBEsol structure

Unit cell a=3.2058 b=3.8816 c=4.7737 alpha=90.00 beta=90.00 gamma=90.00
With the nearest neighbours (Å) after each atom.
Space group Pmmm (No. 47)
One atom of each set of equivalent atoms:
Li  0.0000  0.0000  0.0000  4 As 2.52
Re  0.5000  0.0000  0.5000  4 As 2.52
As  0.0000  0.5000  0.5000  4 Re 2.52
As  0.5000  0.5000  0.0000  4 Li 2.52

Results
Formation enthalpy at 0 K, eV/atom: 0.292
Volume, A^3/atom: 14.85
Electronic total energy, eV/atom: -28.1751
Crystal system: orthorhombic
Offset from the most stable computed form, eV per formula unit: 2.07